1.
Computed, not measured: a geometry-optimized Tm3In3PtAu2 structure at the PBE-GGA level of DFT.

Cell lengths 7.7124, 7.7124, 3.8309 Å; angles 90.00, 90.00, 120.00 degrees
Closest atoms and distances in Å follow each position.
Space group P-62m (No. 189)
One atom of each set of equivalent atoms:
Tm  0.0000  0.6010  0.0000 [3 per cell]  4 Au 3.04, 1 Pt 3.08, 6 In 3.25-3.32
In  0.0000  0.2605  0.5000 [3 per cell]  2 Pt 2.78, 2 Au 2.89
Pt  0.0000  0.0000  0.0000 [1 per cell]  6 In 2.78, 3 Tm 3.08
Au  0.3333  0.6667  0.5000 [2 per cell]  3 In 2.89, 6 Tm 3.04

The magnetic moment is 0.002 μB per cell. For the total energy, the calculation gives -4.628 eV/atom.

=====

2.
Computed, not measured: a geometry-optimized Y2TmIn3PtAu2 structure at the PBE-GGA level of DFT.

Cell lengths 3.9453, 13.3391, 7.7166 Å; angles 90.00, 90.00, 90.00 degrees
Closest atoms and distances in Å follow each position.
Space group Amm2 (No. 38)
One atom of each set of equivalent atoms:
Y  0.0000  0.2006  0.0000 [4 per cell]  4 Au 3.08, 1 Pt 3.10, 6 In 3.29-3.36
Tm  0.0000  0.0000  0.3996 [2 per cell]  4 Au 3.04, 1 Pt 3.06, 6 In 3.31-3.35
In  0.5000  0.0000  0.0552 [2 per cell]  2 Pt 2.81, 2 Au 2.89
In  0.5000  0.1287  0.6707 [4 per cell]  2 Pt 2.79, 2 Au 2.89-2.94
Pt  0.0000  0.0000  0.7960 [2 per cell]  6 In 2.79-2.81, 1 Tm 3.06, 2 Y 3.10
Au  0.5000  0.1641  0.3007 [4 per cell]  3 In 2.89-2.94, 2 Tm 3.04, 4 Y 3.08

The magnetic moment is 0.049 μB per cell. For the total energy, the calculation gives -5.085 eV/atom.

=====

3.
Computed, not measured: a geometry-optimized Y2In4PtAu structure at the PBE-GGA level of DFT.

Cell lengths 7.2874, 4.5998, 10.7100 Å; angles 90.00, 90.00, 90.00 degrees
Closest atoms and distances in Å follow each position.
Space group Amm2 (No. 38)
One atom of each set of equivalent atoms:
Y  0.0000  0.0000  0.0000 [2 per cell]  3 Au 3.05-3.26, 4 In 3.22
Y  0.5000  0.0000  0.1582 [2 per cell]  3 Pt 3.00-3.29, 4 In 3.19
In  0.2072  0.0000  0.7140 [4 per cell]  1 Pt 2.76, 2 Au 2.85, 2 In 2.92-3.02
In  0.3000  0.0000  0.4483 [4 per cell]  1 Au 2.80, 2 Pt 2.83, 2 In 2.91-2.92
Pt  0.5000  0.0000  0.8777 [2 per cell]  6 In 2.76-2.83, 1 Y 3.00
Au  0.0000  0.0000  0.2843 [2 per cell]  6 In 2.80-2.85, 1 Y 3.05

The magnetic moment is 0.002 μB per cell. For the total energy, the calculation gives -4.787 eV/atom.

=====

4.
Computed, not measured: a geometry-optimized Y3In3Pt2Au structure at the PBE-GGA level of DFT.

Cell lengths 7.7258, 7.7258, 3.9099 Å; angles 90.00, 90.00, 120.00 degrees
Closest atoms and distances in Å follow each position.
Space group P-62m (No. 189)
One atom of each set of equivalent atoms:
Y  0.0000  0.4079  0.0000 [3 per cell]  4 Pt 3.05, 1 Au 3.15, 6 In 3.19-3.39
In  0.0000  0.7335  0.5000 [3 per cell]  2 Au 2.84, 2 Pt 2.87
Pt  0.3333  0.6667  0.5000 [2 per cell]  3 In 2.87, 6 Y 3.05
Au  0.0000  0.0000  0.0000 [1 per cell]  6 In 2.84, 3 Y 3.15

The magnetic moment is 0.011 μB per cell. For the total energy, the calculation gives -5.694 eV/atom.

=====

5.
Computed, not measured: a geometry-optimized Pu2InAu2 structure at the PBE-GGA level of DFT.

Cell lengths 7.8893, 7.8893, 3.9913 Å; angles 90.00, 90.00, 90.00 degrees
Closest atoms and distances in Å follow each position.
Space group P4/mbm (No. 127)
One atom of each set of equivalent atoms:
Pu  0.1720  0.3280  0.0000 [4 per cell]  6 Au 2.98-3.12
In  0.0000  0.0000  0.5000 [2 per cell]  4 Au 3.10
Au  0.1294  0.6294  0.5000 [4 per cell]  1 Au 2.89, 6 Pu 2.98-3.12, 2 In 3.10

The magnetic moment is 22.585 μB per cell. For the total energy, the calculation gives -7.984 eV/atom.

=====

6.
Computed, not measured: a geometry-optimized RbIn2Au3 structure at the PBE-GGA level of DFT.

Cell lengths 11.7376, 8.5496, 6.4513 Å; angles 90.00, 90.00, 90.00 degrees
Closest atoms and distances in Å follow each position.
Space group Cmcm (No. 63)
One atom of each set of equivalent atoms:
Rb  0.0000  0.1557  0.2500 [4 per cell]  11 Au 3.78-3.97, 8 In 4.04-4.18, 2 Rb 4.18
In  0.1915  0.5000  0.0000 [8 per cell]  6 Au 2.77-2.95
Au  0.0000  0.4028  0.7500 [4 per cell]  2 Au 2.80, 4 In 2.89
Au  0.1932  0.2109  0.7500 [8 per cell]  4 In 2.77-2.95, 1 Au 2.80

For the total energy, the calculation gives -3.003 eV/atom.

=====

7.
Computed, not measured: a geometry-optimized RbIn2Au2 structure at the PBE-GGA level of DFT.

Cell lengths 4.8619, 4.8619, 11.8149 Å; angles 90.00, 90.00, 90.00 degrees
Closest atoms and distances in Å follow each position.
Space group I4/mmm (No. 139)
One atom of each set of equivalent atoms:
Rb  0.0000  0.0000  0.0000 [2 per cell]  8 Au 3.71, 8 In 3.83
In  0.0000  0.5000  0.2500 [4 per cell]  4 Au 2.88
Au  0.0000  0.0000  0.3813 [4 per cell]  1 Au 2.80, 4 In 2.88

For the total energy, the calculation gives -2.862 eV/atom.

=====

8.
Computed, not measured: a geometry-optimized RbInAu structure at the PBE-GGA level of DFT.

Cell lengths 7.8709, 7.8709, 7.8709 Å; angles 90.00, 90.00, 90.00 degrees
Closest atoms and distances in Å follow each position.
Space group F-43m (No. 216)
One atom of each set of equivalent atoms:
Rb  0.0000  0.0000  0.0000 [4 per cell]  4 In 3.41, 4 Au 3.41
In  0.2500  0.2500  0.2500 [4 per cell]  4 Rb 3.41
Au  0.2500  0.2500  0.7500 [4 per cell]  4 Rb 3.41

For the total energy, the calculation gives -1.971 eV/atom.

=====

9.
Computed, not measured: a geometry-optimized RbInAu structure at the PBE-GGA level of DFT.

Cell lengths 7.5351, 7.5351, 7.5351 Å; angles 90.00, 90.00, 90.00 degrees
Closest atoms and distances in Å follow each position.
Space group F-43m (No. 216)
One atom of each set of equivalent atoms:
Rb  0.0000  0.0000  0.0000 [4 per cell]  4 Au 3.26
In  0.0000  0.0000  0.5000 [4 per cell]  4 Au 3.26
Au  0.2500  0.2500  0.7500 [4 per cell]  4 In 3.26, 4 Rb 3.26

For the total energy, the calculation gives -2.329 eV/atom.

=====

10.
Computed, not measured: a geometry-optimized RbSrIn4Au2 structure at the PBE-GGA level of DFT.

Cell lengths 8.0675, 4.7280, 11.3272 Å; angles 90.00, 90.00, 90.00 degrees
Closest atoms and distances in Å follow each position.
Space group Amm2 (No. 38)
One atom of each set of equivalent atoms:
Rb  0.0000  0.0000  0.0000 [2 per cell]  3 Au 3.21-3.41, 4 In 3.55
Sr  0.5000  0.0000  0.8709 [2 per cell]  3 Au 3.23-3.40, 4 In 3.52
In  0.1974  0.0000  0.2900 [4 per cell]  3 Au 2.88-2.97, 1 In 3.19
In  0.3079  0.0000  0.5814 [4 per cell]  3 Au 2.92-2.95, 1 In 3.10
Au  0.0000  0.0000  0.7167 [2 per cell]  6 In 2.92-2.97, 1 Rb 3.21
Au  0.5000  0.0000  0.1557 [2 per cell]  6 In 2.88-2.95

For the total energy, the calculation gives -2.867 eV/atom.

=====

11.
Computed, not measured: a geometry-optimized RbTl3In3Au4 structure at the PBE-GGA level of DFT.

Cell lengths 8.3205, 8.3205, 4.5980 Å; angles 90.00, 90.00, 120.00 degrees
Closest atoms and distances in Å follow each position.
Space group P-6m2 (No. 187)
One atom of each set of equivalent atoms:
Rb  0.0000  0.0000  0.0000 [1 per cell]  6 Tl 3.61, 6 Au 3.83
Tl  0.3865  0.1933  0.5000 [3 per cell]  4 Au 2.94-3.06
In  0.0689  0.5345  0.0000 [3 per cell]  5 Au 2.90-2.94
Au  0.2129  0.4258  0.5000 [3 per cell]  4 In 2.94, 2 Tl 2.94, 2 Au 3.01
Au  0.6667  0.3333  0.0000 [1 per cell]  3 In 2.90, 6 Tl 3.06

The relative energy among the computed polymorphs is 0 meV per atom. For the total energy, the calculation gives -2.860 eV/atom.

=====

12.
Computed, not measured: a geometry-optimized RbTl3In3Au4 structure at the PBE-GGA level of DFT.

Cell lengths 8.3457, 8.3457, 4.6918 Å; angles 90.00, 90.00, 120.00 degrees
Closest atoms and distances in Å follow each position.
Space group P-6m2 (No. 187)
One atom of each set of equivalent atoms:
Rb  0.0000  0.0000  0.0000 [1 per cell]  6 Au 3.69, 6 In 3.73
Tl  0.0713  0.5357  0.0000 [3 per cell]  5 Au 2.92-3.04
In  0.4006  0.2003  0.5000 [3 per cell]  4 Au 2.87-3.03
Au  0.1974  0.3948  0.5000 [3 per cell]  2 In 2.87, 4 Tl 3.04
Au  0.6667  0.3333  0.0000 [1 per cell]  3 Tl 2.92, 6 In 3.03

The relative energy among the computed polymorphs is 31 meV per atom. For the total energy, the calculation gives -2.829 eV/atom.